Entry 1:
# K4Ba2SnBi4, relaxed, DFT GGA-PBEsol
data_K4Ba2SnBi4
_cell_length_a 19.5917
_cell_length_b 11.4113
_cell_length_c 8.2804
_cell_angle_alpha 90.00
_cell_angle_beta 91.15
_cell_angle_gamma 90.00
_symmetry_space_group_name_H-M 'C 1 m 1'
_symmetry_Int_Tables_number 8
loop_
_symmetry_equiv_pos_as_xyz
'x,y,z'
'x,-y,z'
'x+1/2,y+1/2,z'
'x+1/2,-y+1/2,z'
loop_
_atom_site_label
_atom_site_fract_x
_atom_site_fract_y
_atom_site_fract_z
_atom_site_occupancy
K1 0.0000 0.0000 0.0000 1
K2 0.0778 0.2147 0.4688 1
K3 0.2270 0.2163 0.9824 1
K4 0.2992 0.0000 0.4422 1
K5 0.4116 0.2177 0.1720 1
Ba1 0.1301 0.5000 0.1704 1
Ba2 0.1665 0.5000 0.6702 1
Ba3 0.3915 0.2737 0.6723 1
Sn1 0.3179 0.5000 0.2966 1
Sn2 0.4857 0.0000 0.8017 1
Bi1 0.0570 0.2860 0.9031 1
Bi2 0.2449 0.2920 0.4084 1
Bi3 0.3137 0.5000 0.9374 1
Bi4 0.3422 0.0000 0.8819 1
Bi5 0.4568 0.5000 0.4237 1
Bi6 0.4891 0.0000 0.4474 1
# M_tot	0.0	μB/f.u.
# ΔH_f (0 K)	-592	kJ/mol of formula units

***

Entry 2:
# Ba2LaBiO6, relaxed, DFT GGA-PBEsol
data_Ba2LaBiO6
_cell_length_a 8.8226
_cell_length_b 8.8226
_cell_length_c 8.8226
_cell_angle_alpha 90.00
_cell_angle_beta 90.00
_cell_angle_gamma 90.00
_symmetry_space_group_name_H-M 'F m -3 m'
_symmetry_Int_Tables_number 225
_symmetry_space_group_name_Hall '-F 4 2 3'
loop_
_atom_site_label
_atom_site_fract_x
_atom_site_fract_y
_atom_site_fract_z
_atom_site_occupancy
Ba1 0.2500 0.2500 0.2500 1
La1 0.0000 0.0000 0.0000 1
Bi1 0.0000 0.0000 0.5000 1
O1 0.0000 0.0000 0.2611 1
# ΔE_f (raw)	-23.68	eV/f.u.
# M_tot	0.0	μB/f.u.

***

Entry 3:
# BaLiBi, relaxed, DFT GGA-PBEsol
data_BaLiBi
_cell_length_a 4.9919
_cell_length_b 4.9919
_cell_length_c 7.6511
_cell_angle_alpha 90.00
_cell_angle_beta 90.00
_cell_angle_gamma 90.00
_symmetry_space_group_name_H-M 'P 4/n m m'
_symmetry_Int_Tables_number 129
loop_
_symmetry_equiv_pos_as_xyz
'x,y,z'
'-x,-y,-z'
'-y+1/2,x,z'
'y+1/2,-x,-z'
'-x+1/2,-y+1/2,z'
'x+1/2,y+1/2,-z'
'y,-x+1/2,z'
'-y,x+1/2,-z'
'x+1/2,-y,-z'
'-x+1/2,y,z'
'-y,-x,-z'
'y,x,z'
'-x,y+1/2,-z'
'x,-y+1/2,z'
'y+1/2,x+1/2,-z'
'-y+1/2,-x+1/2,z'
loop_
_atom_site_label
_atom_site_fract_x
_atom_site_fract_y
_atom_site_fract_z
_atom_site_occupancy
Ba1 0.2500 0.2500 0.1867 1
Li1 0.2500 0.7500 0.5000 1
Bi1 0.2500 0.2500 0.7113 1
# M_tot	0.0	μB/f.u.
# ΔH_f (0 K)	-249	kJ/mol of formula units